Compound: Th2Si3Os2
Source: Alexandria via LeMat-Bulk
Functional: GGA-PBE
Structure: relaxed

Results
The density of states at the Fermi level is 0.62 states/eV per atom. As for the excess energy over the best structure of this formula in the dataset: 38 meV/atom. The calculation puts the magnetization at 0.00 μB/cell. The formation energy (no corrections) is -52.35 kJ/mol of atoms. For the calculated total energy, the calculation gives -8.20 eV per atom.

Structure (CIF):
```
data_Th2Si3Os2
_cell_length_a 10.6338
_cell_length_b 4.0681
_cell_length_c 7.0285
_cell_angle_alpha 90.00
_cell_angle_beta 118.12
_cell_angle_gamma 90.00
_symmetry_space_group_name_H-M 'C 1 2/m 1'
_symmetry_Int_Tables_number 12
_symmetry_space_group_name_Hall '-C 2y'
loop_
_atom_site_label
_atom_site_type_symbol
_atom_site_fract_x
_atom_site_fract_y
_atom_site_fract_z
Th1 Th 0.1384 0.0000 0.2635
Si1 Si 0.0000 0.5000 0.5000
Si2 Si 0.1440 0.5000 0.9279
Os1 Os 0.1367 0.0000 0.7120
```